# BaGaH (GGA-PBE, relaxed)
data_BaGaH
_cell_length_a 4.823
_cell_length_b 4.622
_cell_length_c 7.086
_cell_angle_alpha 90.00
_cell_angle_beta 109.21
_cell_angle_gamma 90.00
_symmetry_space_group_name_H-M 'P 1 21/m 1'
_symmetry_Int_Tables_number 11
loop_
_symmetry_equiv_pos_as_xyz
'x,y,z'
'-x,-y,-z'
'-x,y+1/2,-z'
'x,-y+1/2,z'
loop_
_atom_site_label
_atom_site_fract_x
_atom_site_fract_y
_atom_site_fract_z
Ba1 0.133 0.250 0.274
Ga1 0.450 0.250 0.879
H1 0.187 0.750 0.112
# V, Å³ per cell: 149.2
# DOS at the Fermi energy, states/eV per atom: 0.21
# Relative energy among the computed polymorphs, eV/f.u.: 0.18
# VASP energy, eV/cell: -19.04